Density functional theory data (PBE-GGA) for a relaxed structure of Pm3Sm8Th.

density of states at the Fermi level: 1.514 states/eV per atom
energy relative to the elements: 0.33 eV/atom

Unit cell a=8.816 b=8.816 c=8.816 alpha=97.91 beta=136.49 gamma=97.88
Positions (direct):
1 Pm 0.500 0.762 0.262
2 Pm 0.500 0.238 0.738
3 Pm 0.000 0.500 0.500
4 Sm 0.498 0.253 0.245
5 Sm 0.502 0.747 0.754
6 Sm 0.993 0.747 0.246
7 Sm 0.007 0.253 0.755
8 Sm 0.168 0.416 0.249
9 Sm 0.832 0.081 0.248
10 Sm 0.833 0.584 0.752
11 Sm 0.167 0.919 0.751
12 Th 0.000 0.000 0.000